[1]
# Zr2NiPt (PBE, relaxed)
data_Zr2NiPt
_symmetry_space_group_name_H-M 'P 1 21/m 1'
_symmetry_Int_Tables_number 11
_symmetry_space_group_name_Hall '-P 2yb'
_cell_length_a 5.401
_cell_length_b 4.199
_cell_length_c 6.814
_cell_angle_alpha 90.00
_cell_angle_beta 108.75
_cell_angle_gamma 90.00
loop_
_atom_site_label
_atom_site_type_symbol
_atom_site_fract_x
_atom_site_fract_y
_atom_site_fract_z
_atom_site_occupancy
Zr1 Zr 0.212 0.250 0.432 1
Zr2 Zr 0.222 0.250 0.926 1
Ni1 Ni 0.322 0.750 0.702 1
Pt1 Pt 0.329 0.750 0.210 1
# - Volume: 18.29 Å³ per atom
# - E_tot: -8.0019 eV per atom

---

[2]
# P2RuNO (PBE, relaxed)
data_P2RuNO
_symmetry_space_group_name_H-M 'C 1 m 1'
_symmetry_Int_Tables_number 8
_symmetry_space_group_name_Hall 'C -2y'
_cell_length_a 7.997
_cell_length_b 2.862
_cell_length_c 5.589
_cell_angle_alpha 90.00
_cell_angle_beta 107.53
_cell_angle_gamma 90.00
loop_
_atom_site_label
_atom_site_type_symbol
_atom_site_fract_x
_atom_site_fract_y
_atom_site_fract_z
_atom_site_occupancy
P1 P 0.000 0.000 0.000 1
P2 P 0.019 0.500 0.505 1
Ru1 Ru 0.319 0.000 0.733 1
N1 N 0.493 0.500 0.302 1
O1 O 0.195 0.000 0.027 1
# - Volume: 12.20 Å³ per atom
# - Energy relative to the lowest polymorph listed for this composition: 70 meV/atom
# - E_tot: -7.2032 eV per atom
# - Formation energy without anion corrections: -0.527 eV per atom

---

[3]
# Mn2VCoN (PBE, relaxed)
data_Mn2VCoN
_symmetry_space_group_name_H-M 'P 4/m m m'
_symmetry_Int_Tables_number 123
_symmetry_space_group_name_Hall '-P 4 2'
_cell_length_a 3.744
_cell_length_b 3.744
_cell_length_c 3.898
_cell_angle_alpha 90.00
_cell_angle_beta 90.00
_cell_angle_gamma 90.00
loop_
_atom_site_label
_atom_site_type_symbol
_atom_site_fract_x
_atom_site_fract_y
_atom_site_fract_z
_atom_site_occupancy
Mn1 Mn 0.000 0.500 0.000 1
V1 V 0.000 0.000 0.500 1
Co1 Co 0.500 0.500 0.500 1
N1 N 0.000 0.000 0.000 1
# - Volume: 10.93 Å³ per atom
# - E_tot: -8.8250 eV per atom
# - Formation energy without anion corrections: -0.247 eV per atom

---

[4]
# CaNbGeTeP (PBE, relaxed)
data_CaNbGeTeP
_symmetry_space_group_name_H-M 'C 1 m 1'
_symmetry_Int_Tables_number 8
_symmetry_space_group_name_Hall 'C -2y'
_cell_length_a 8.589
_cell_length_b 3.582
_cell_length_c 8.359
_cell_angle_alpha 90.00
_cell_angle_beta 117.98
_cell_angle_gamma 90.00
loop_
_atom_site_label
_atom_site_type_symbol
_atom_site_fract_x
_atom_site_fract_y
_atom_site_fract_z
_atom_site_occupancy
Ca1 Ca 0.000 0.000 0.000 1
Nb1 Nb 0.408 0.000 0.561 1
Ge1 Ge 0.191 0.000 0.770 1
Te1 Te 0.326 0.500 0.262 1
P1 P 0.192 0.500 0.550 1
# - Volume: 22.71 Å³ per atom
# - Energy relative to the lowest polymorph listed for this composition: 28 meV/atom
# - E_tot: -5.6254 eV per atom
# - Formation energy without anion corrections: -0.577 eV per atom

---

[5]
# CrGaFeCu (PBE, relaxed)
data_CrGaFeCu
_symmetry_space_group_name_H-M 'F -4 3 m'
_symmetry_Int_Tables_number 216
_symmetry_space_group_name_Hall 'F -4 2 3'
_cell_length_a 5.865
_cell_length_b 5.865
_cell_length_c 5.865
_cell_angle_alpha 90.00
_cell_angle_beta 90.00
_cell_angle_gamma 90.00
loop_
_atom_site_label
_atom_site_type_symbol
_atom_site_fract_x
_atom_site_fract_y
_atom_site_fract_z
_atom_site_occupancy
Cr1 Cr 0.000 0.000 0.000 1
Ga1 Ga 0.000 0.000 0.500 1
Fe1 Fe 0.250 0.250 0.750 1
Cu1 Cu 0.250 0.250 0.250 1
# - Volume: 12.61 Å³ per atom
# - E_tot: -6.2519 eV per atom

---

[6]
# YAu2Br8 (PBE, relaxed)
data_YAu2Br8
_symmetry_space_group_name_H-M 'C 1 2/m 1'
_symmetry_Int_Tables_number 12
_symmetry_space_group_name_Hall '-C 2y'
_cell_length_a 11.595
_cell_length_b 11.224
_cell_length_c 7.070
_cell_angle_alpha 90.00
_cell_angle_beta 109.61
_cell_angle_gamma 90.00
loop_
_atom_site_label
_atom_site_type_symbol
_atom_site_fract_x
_atom_site_fract_y
_atom_site_fract_z
_atom_site_occupancy
Y1 Y 0.000 0.000 0.000 1
Au1 Au 0.146 0.000 0.614 1
Br1 Br 0.093 0.177 0.811 1
Br2 Br 0.106 0.500 0.109 1
Br3 Br 0.228 0.000 0.328 1
# - Volume: 39.40 Å³ per atom
# - E_tot: -3.0376 eV per atom
# - Formation energy without anion corrections: -0.637 eV per atom

---

[7]
# Pm2DyEr3 (PBE, relaxed)
data_Pm2DyEr3
_symmetry_space_group_name_H-M 'C 1 2/m 1'
_symmetry_Int_Tables_number 12
_symmetry_space_group_name_Hall '-C 2y'
_cell_length_a 17.747
_cell_length_b 3.494
_cell_length_c 14.153
_cell_angle_alpha 90.00
_cell_angle_beta 117.32
_cell_angle_gamma 90.00
loop_
_atom_site_label
_atom_site_type_symbol
_atom_site_fract_x
_atom_site_fract_y
_atom_site_fract_z
_atom_site_occupancy
Pm1 Pm 0.156 0.000 0.469 1
Pm2 Pm 0.180 0.500 0.881 1
Dy1 Dy 0.063 0.000 0.643 1
Er1 Er 0.039 0.500 0.210 1
Er2 Er 0.098 0.000 0.026 1
Er3 Er 0.237 0.000 0.292 1
# - Volume: 32.49 Å³ per atom
# - Energy relative to the lowest polymorph listed for this composition: 46 meV/atom
# - E_tot: -4.5120 eV per atom

---

[8]
# HfTi2Tc (PBE, relaxed)
data_HfTi2Tc
_symmetry_space_group_name_H-M 'I -4 2 d'
_symmetry_Int_Tables_number 122
_symmetry_space_group_name_Hall 'I -4 2bw'
_cell_length_a 7.244
_cell_length_b 7.244
_cell_length_c 5.624
_cell_angle_alpha 90.00
_cell_angle_beta 90.00
_cell_angle_gamma 90.00
loop_
_atom_site_label
_atom_site_type_symbol
_atom_site_fract_x
_atom_site_fract_y
_atom_site_fract_z
_atom_site_occupancy
Hf1 Hf 0.000 0.000 0.000 1
Ti1 Ti 0.206 0.250 0.625 1
Tc1 Tc 0.000 0.000 0.500 1
# - Volume: 18.44 Å³ per atom
# - Energy relative to the lowest polymorph listed for this composition: 513 meV/atom
# - E_tot: -8.8263 eV per atom